[1]
Density functional theory data (PBE-GGA) for crystalline Si2SbTe at its relaxed geometry.

The structure in CIF format:
```
data_Si2SbTe
_chemical_formula_sum 'Si4 Sb2 Te2'
_cell_length_a 6.980
_cell_length_b 4.002
_cell_length_c 6.985
_cell_angle_alpha 90.00
_cell_angle_beta 108.17
_cell_angle_gamma 90.00
_space_group_name_H-M_alt 'C 1 2/m 1'
_space_group_IT_number 12
loop_
_space_group_symop_operation_xyz
'x,y,z'
'-x,-y,-z'
'-x,y,-z'
'x,-y,z'
'x+1/2,y+1/2,z'
'-x+1/2,-y+1/2,-z'
'-x+1/2,y+1/2,-z'
'x+1/2,-y+1/2,z'
loop_
_atom_site_label
_atom_site_type_symbol
_atom_site_fract_x
_atom_site_fract_y
_atom_site_fract_z
_atom_site_occupancy
Si1 Si 0.245 0.000 0.239 1
Sb1 Sb 0.000 0.500 0.000 1
Te1 Te 0.000 0.000 0.500 1
```


[2]
Density functional theory data (PBE-GGA) for crystalline Si2SbTe at its relaxed geometry.

The structure in CIF format:
```
data_Si2SbTe
_chemical_formula_sum 'Si4 Sb2 Te2'
_cell_length_a 8.028
_cell_length_b 8.001
_cell_length_c 2.960
_cell_angle_alpha 90.00
_cell_angle_beta 90.51
_cell_angle_gamma 90.00
_space_group_name_H-M_alt 'C 1 2/m 1'
_space_group_IT_number 12
loop_
_space_group_symop_operation_xyz
'x,y,z'
'-x,-y,-z'
'-x,y,-z'
'x,-y,z'
'x+1/2,y+1/2,z'
'-x+1/2,-y+1/2,-z'
'-x+1/2,y+1/2,-z'
'x+1/2,-y+1/2,z'
loop_
_atom_site_label
_atom_site_type_symbol
_atom_site_fract_x
_atom_site_fract_y
_atom_site_fract_z
_atom_site_occupancy
Si1 Si 0.250 0.250 0.000 1
Sb1 Sb 0.000 0.000 0.000 1
Te1 Te 0.000 0.500 0.000 1
```


[3]
Density functional theory data (PBE-GGA) for crystalline Si2SbTe at its relaxed geometry.

The structure in CIF format:
```
data_Si2SbTe
_chemical_formula_sum 'Si2 Sb1 Te1'
_cell_length_a 4.004
_cell_length_b 4.035
_cell_length_c 5.753
_cell_angle_alpha 90.00
_cell_angle_beta 90.00
_cell_angle_gamma 90.00
_space_group_name_H-M_alt 'P m m m'
_space_group_IT_number 47
loop_
_space_group_symop_operation_xyz
'x,y,z'
'-x,-y,-z'
'-x,-y,z'
'x,y,-z'
'x,-y,-z'
'-x,y,z'
'-x,y,-z'
'x,-y,z'
loop_
_atom_site_label
_atom_site_type_symbol
_atom_site_fract_x
_atom_site_fract_y
_atom_site_fract_z
_atom_site_occupancy
Si1 Si 0.000 0.000 0.000 1
Si2 Si 0.500 0.500 0.500 1
Sb1 Sb 0.000 0.000 0.500 1
Te1 Te 0.500 0.500 0.000 1
```


[4]
Density functional theory data (PBE-GGA) for crystalline Si2SbTe2 at its relaxed geometry.

The structure in CIF format:
```
data_Si2SbTe2
_chemical_formula_sum 'Si4 Sb2 Te4'
_cell_length_a 5.370
_cell_length_b 5.370
_cell_length_c 9.467
_cell_angle_alpha 90.00
_cell_angle_beta 90.00
_cell_angle_gamma 90.00
_space_group_name_H-M_alt 'I 4/m m m'
_space_group_IT_number 139
_space_group_name_Hall '-I 4 2'
loop_
_atom_site_label
_atom_site_type_symbol
_atom_site_fract_x
_atom_site_fract_y
_atom_site_fract_z
_atom_site_occupancy
Si1 Si 0.000 0.500 0.250 1
Sb1 Sb 0.000 0.000 0.000 1
Te1 Te 0.000 0.000 0.328 1
```


[5]
Density functional theory data (PBE-GGA) for crystalline SiSb3Te at its relaxed geometry.

The structure in CIF format:
```
data_SiSb3Te
_chemical_formula_sum 'Si1 Sb3 Te1'
_cell_length_a 5.244
_cell_length_b 5.244
_cell_length_c 5.244
_cell_angle_alpha 90.00
_cell_angle_beta 90.00
_cell_angle_gamma 90.00
_space_group_name_H-M_alt 'P m -3 m'
_space_group_IT_number 221
_space_group_name_Hall '-P 4 2 3'
loop_
_atom_site_label
_atom_site_type_symbol
_atom_site_fract_x
_atom_site_fract_y
_atom_site_fract_z
_atom_site_occupancy
Si1 Si 0.000 0.000 0.000 1
Sb1 Sb 0.000 0.000 0.500 1
Te1 Te 0.500 0.500 0.500 1
```


[6]
Density functional theory data (PBE-GGA) for crystalline Si2SbTe at its relaxed geometry.

The structure in CIF format:
```
data_Si2SbTe
_chemical_formula_sum 'Si8 Sb4 Te4'
_cell_length_a 7.009
_cell_length_b 7.009
_cell_length_c 8.961
_cell_angle_alpha 90.00
_cell_angle_beta 90.00
_cell_angle_gamma 90.00
_space_group_name_H-M_alt 'I -4 2 d'
_space_group_IT_number 122
_space_group_name_Hall 'I -4 2bw'
loop_
_atom_site_label
_atom_site_type_symbol
_atom_site_fract_x
_atom_site_fract_y
_atom_site_fract_z
_atom_site_occupancy
Si1 Si 0.240 0.250 0.125 1
Sb1 Sb 0.000 0.000 0.000 1
Te1 Te 0.000 0.000 0.500 1
```


Result set for DFT total energy: -4.267, -4.161, -4.272, -3.738, -3.608, -4.061 eV/atom, one per record in the order listed.